No. 1
Ce2ZnFe: relaxed, PBE.

Cell and atoms, written as POSCAR:
```
Ce2ZnFe
1.0
0.0000 3.4949 3.4949
3.4949 0.0000 3.4949
3.4949 3.4949 0.0000
Ce Zn Fe
2 1 1
direct
0.2500 0.2500 0.2500 Ce
0.7500 0.7500 0.7500 Ce
0.0000 0.0000 0.0000 Zn
0.5000 0.5000 0.5000 Fe
```

Properties
D(E_F)   1.676 states/eV per atom
ρ   7809 kg/m³
E_tot   -21.58 eV/cell
Polymorph energy (0 for the lowest one)   50 meV per atom


No. 2
K2CdRe: relaxed, PBE.

Cell and atoms, written as POSCAR:
```
K2CdRe
1.0
-1.3848 3.1974 6.7683
1.3848 -3.1974 6.7683
1.3848 3.1974 -6.7683
K Cd Re
2 1 1
direct
0.0000 0.0000 0.0000 K
0.6935 0.1935 0.5000 K
0.4248 0.4248 0.0000 Cd
0.2442 0.7442 0.5000 Re
```

Properties
D(E_F)   1.099 states/eV per atom
ρ   5220 kg/m³
E_tot   -11.32 eV/cell


No. 3
Ac8TbPr2: relaxed, PBE.

Cell and atoms, written as POSCAR:
```
Ac8TbPr2
1.0
9.8992 -2.7821 0.0000
9.8992 2.7821 0.0000
-2.3125 0.0000 8.4148
Ac Tb Pr
8 1 2
direct
0.0466 0.0466 0.2298 Ac
0.1371 0.1371 0.6860 Ac
0.3188 0.3188 0.5864 Ac
0.4075 0.4075 0.0492 Ac
0.5925 0.5925 0.9508 Ac
0.6812 0.6812 0.4136 Ac
0.8629 0.8629 0.3140 Ac
0.9534 0.9534 0.7702 Ac
0.5000 0.5000 0.5000 Tb
0.2263 0.2263 0.1338 Pr
0.7737 0.7737 0.8662 Pr
```

Properties
D(E_F)   1.816 states/eV per atom
ρ   8085 kg/m³
E_tot   -46.70 eV/cell
Polymorph energy (0 for the lowest one)   0 meV per atom


No. 4
NaZnGa2P: relaxed, PBE.

Cell and atoms, written as POSCAR:
```
NaZnGa2P
1.0
4.7465 0.0000 0.0000
0.0000 4.7465 0.0000
0.0000 0.0000 5.1206
Na Zn Ga P
1 1 2 1
direct
0.0000 0.0000 0.0000 Na
0.0000 0.0000 0.5000 Zn
0.0000 0.5000 0.5000 Ga
0.5000 0.0000 0.5000 Ga
0.5000 0.5000 0.0000 P
```

Properties
D(E_F)   0.738 states/eV per atom
ρ   3725 kg/m³
E_tot   -11.85 eV/cell


No. 5
CdRu4Br: relaxed, PBE.

Cell and atoms, written as POSCAR:
```
CdRu4Br
1.0
0.0000 3.7330 3.7330
3.7330 0.0000 3.7330
3.7330 3.7330 0.0000
Cd Ru Br
1 4 1
direct
0.0000 0.0000 0.0000 Cd
0.1274 0.6242 0.6242 Ru
0.6242 0.1274 0.6242 Ru
0.6242 0.6242 0.1274 Ru
0.6242 0.6242 0.6242 Ru
0.2500 0.2500 0.2500 Br
```

Properties
D(E_F)   1.353 states/eV per atom
ρ   9522 kg/m³
E_tot   -34.07 eV/cell


No. 6
Ho4Hg2C: relaxed, PBE.

Cell and atoms, written as POSCAR:
```
Ho4Hg2C
1.0
-2.4391 2.4391 7.3826
2.4391 -2.4391 7.3826
2.4391 2.4391 -7.3826
Ho Hg C
4 2 1
direct
0.0000 0.5000 0.5000 Ho
0.1664 0.1664 0.0000 Ho
0.5000 0.0000 0.5000 Ho
0.8336 0.8336 0.0000 Ho
0.3684 0.3684 0.0000 Hg
0.6316 0.6316 0.0000 Hg
0.0000 0.0000 0.0000 C
```

Properties
D(E_F)   1.075 states/eV per atom
ρ   10141 kg/m³
E_tot   -30.62 eV/cell
Polymorph energy (0 for the lowest one)   0 meV per atom


No. 7
GaFeBi2: relaxed, PBE.

Cell and atoms, written as POSCAR:
```
GaFeBi2
1.0
-3.0147 3.0147 6.2607
3.0147 -3.0147 6.2607
3.0147 3.0147 -6.2607
Ga Fe Bi
2 2 4
direct
0.0000 0.0000 0.0000 Ga
0.7500 0.2500 0.5000 Ga
0.2500 0.7500 0.5000 Fe
0.5000 0.5000 0.0000 Fe
0.1540 0.6250 0.0290 Bi
0.3750 0.4040 0.5290 Bi
0.5960 0.1250 0.9710 Bi
0.8750 0.8460 0.4710 Bi
```

Properties
D(E_F)   0.845 states/eV per atom
ρ   7931 kg/m³
E_tot   -34.45 eV/cell
Polymorph energy (0 for the lowest one)   0 meV per atom


No. 8
Sr2TiIrI: relaxed, PBE.

Cell and atoms, written as POSCAR:
```
Sr2TiIrI
1.0
6.1049 0.0000 0.0000
0.0000 6.1049 0.0000
0.0000 0.0000 4.9608
Sr Ti Ir I
2 1 1 1
direct
0.0000 0.5000 0.0000 Sr
0.5000 0.0000 0.0000 Sr
0.0000 0.0000 0.5000 Ti
0.5000 0.5000 0.5000 Ir
0.5000 0.5000 0.0000 I
```

Properties
D(E_F)   1.762 states/eV per atom
ρ   4870 kg/m³
E_tot   -17.38 eV/cell


Among the records above, which one has the lowest D(E_F)? NaZnGa2P